(1)
Computed, not measured: an optimized crystal structure of Ac2RhSe at the PBE level of DFT.

The structure in POSCAR format:
```
Ac2RhSe
1.0
4.309 0.000 0.000
-2.155 3.732 0.000
0.000 0.000 15.604
Ac Rh Se
4 2 2
direct
0.333 0.667 0.110 Ac
0.333 0.667 0.390 Ac
0.667 0.333 0.610 Ac
0.667 0.333 0.890 Ac
0.000 0.000 0.000 Rh
0.000 0.000 0.500 Rh
0.333 0.667 0.750 Se
0.667 0.333 0.250 Se
```

polymorph energy (0 for the lowest one): 0.134 eV/f.u.
mass density: 8.415 Mg/m³
space-group type: No. 194
E: -0.220 hartree per atom
calculated volume: 250.94 Å³ per cell
magnetic moment: 0.000 Bohr magnetons per cell
E_form (uncorrected): -1.228 eV per atom



(2)
Computed, not measured: an optimized crystal structure of TaTcCl4 at the PBE level of DFT.

The structure in POSCAR format:
```
TaTcCl4
1.0
0.000 3.959 3.959
3.959 0.000 3.959
3.959 3.959 0.000
Ta Tc Cl
1 1 4
direct
0.000 0.000 0.000 Ta
0.750 0.750 0.750 Tc
0.375 0.375 0.375 Cl
0.375 0.375 0.875 Cl
0.375 0.875 0.375 Cl
0.875 0.375 0.375 Cl
```

mass density: 5.628 Mg/m³
space-group type: No. 216
E: -0.130 hartree per atom
calculated volume: 124.15 Å³ per cell
magnetic moment: 0.085 Bohr magnetons per cell
E_form (uncorrected): 1.394 eV per atom



(3)
Computed, not measured: an optimized crystal structure of Dy12TlNi5 at the PBE level of DFT.

The structure in POSCAR format:
```
Dy12TlNi5
1.0
-4.684 4.780 4.945
4.684 -4.780 4.945
4.684 4.780 -4.945
Dy Tl Ni
12 1 5
direct
0.022 0.212 0.809 Dy
0.182 0.294 0.476 Dy
0.182 0.706 0.888 Dy
0.322 0.017 0.695 Dy
0.322 0.627 0.305 Dy
0.403 0.212 0.191 Dy
0.597 0.788 0.809 Dy
0.678 0.373 0.695 Dy
0.678 0.983 0.305 Dy
0.818 0.294 0.112 Dy
0.818 0.706 0.524 Dy
0.978 0.788 0.191 Dy
0.500 0.500 0.000 Tl
0.000 0.000 0.000 Ni
0.124 0.624 0.500 Ni
0.365 0.000 0.365 Ni
0.635 0.000 0.635 Ni
0.876 0.376 0.500 Ni
```

mass density: 9.179 Mg/m³
space-group type: No. 71
E: -0.189 hartree per atom
DFT formation energy: -329 meV per atom
calculated volume: 442.85 Å³ per cell
magnetic moment: 0.000 Bohr magnetons per cell



(4)
Computed, not measured: an optimized crystal structure of Ca2LaPb at the PBE level of DFT.

The structure in POSCAR format:
```
Ca2LaPb
1.0
7.159 0.000 0.000
0.000 12.212 0.000
-1.533 0.000 3.184
Ca La Pb
4 2 2
direct
0.250 0.250 0.000 Ca
0.250 0.750 0.000 Ca
0.750 0.250 0.000 Ca
0.750 0.750 0.000 Ca
0.000 0.000 0.500 La
0.500 0.500 0.500 La
0.000 0.500 0.500 Pb
0.500 0.000 0.500 Pb
```

mass density: 5.086 Mg/m³
space-group type: No. 12
E: -0.122 hartree per atom
DFT formation energy: -171 meV per atom
calculated volume: 278.34 Å³ per cell
magnetic moment: 0.580 Bohr magnetons per cell



(5)
Computed, not measured: an optimized crystal structure of Si3BiIr at the PBE level of DFT.

The structure in POSCAR format:
```
Si3BiIr
1.0
4.733 0.000 0.000
0.000 4.733 0.000
0.000 0.000 4.733
Si Bi Ir
3 1 1
direct
0.000 0.000 0.500 Si
0.000 0.500 0.000 Si
0.500 0.000 0.000 Si
0.500 0.500 0.500 Bi
0.000 0.000 0.000 Ir
```

polymorph energy (0 for the lowest one): 0.000 eV/f.u.
mass density: 7.604 Mg/m³
space-group type: No. 221
E: -0.202 hartree per atom
calculated volume: 106.02 Å³ per cell
magnetic moment: 0.000 Bohr magnetons per cell
E_form (uncorrected): 0.319 eV per atom



(6)
Computed, not measured: an optimized crystal structure of Er2Al2Te7 at the PBE level of DFT.

The structure in POSCAR format:
```
Er2Al2Te7
1.0
4.507 -6.485 0.000
4.507 6.485 0.000
-2.526 0.000 6.966
Er Al Te
2 2 7
direct
0.194 0.806 0.000 Er
0.806 0.194 0.000 Er
0.251 0.251 0.624 Al
0.749 0.749 0.376 Al
0.041 0.398 0.764 Te
0.153 0.153 0.241 Te
0.398 0.041 0.764 Te
0.500 0.500 0.500 Te
0.602 0.959 0.236 Te
0.847 0.847 0.759 Te
0.959 0.602 0.236 Te
```

mass density: 5.226 Mg/m³
space-group type: No. 12
E: -0.154 hartree per atom
calculated volume: 407.23 Å³ per cell
magnetic moment: 0.000 Bohr magnetons per cell
E_form (uncorrected): -0.675 eV per atom



(7)
Computed, not measured: an optimized crystal structure of NaZnSbCl2 at the PBE level of DFT.

The structure in POSCAR format:
```
NaZnSbCl2
1.0
4.663 0.000 0.000
0.000 4.663 0.000
0.000 0.000 8.746
Na Zn Sb Cl
1 1 1 2
direct
0.000 0.000 0.000 Na
0.000 0.000 0.500 Zn
0.500 0.500 0.000 Sb
0.000 0.500 0.500 Cl
0.500 0.000 0.500 Cl
```

mass density: 2.454 Mg/m³
space-group type: No. 123
E: -0.085 hartree per atom
calculated volume: 190.20 Å³ per cell
magnetic moment: 1.433 Bohr magnetons per cell
E_form (uncorrected): -0.232 eV per atom



(8)
Computed, not measured: an optimized crystal structure of La2MgAl at the PBE level of DFT.

The structure in POSCAR format:
```
La2MgAl
1.0
3.479 0.000 0.000
0.000 3.479 0.000
0.000 0.000 9.433
La Mg Al
2 1 1
direct
0.000 0.000 0.000 La
0.500 0.500 0.328 La
0.000 0.000 0.595 Mg
0.500 0.500 0.771 Al
```

mass density: 4.787 Mg/m³
space-group type: No. 99
E: -0.143 hartree per atom
DFT formation energy: -85 meV per atom
calculated volume: 114.16 Å³ per cell
magnetic moment: 0.000 Bohr magnetons per cell



(9)
Computed, not measured: an optimized crystal structure of CeIn5Pd3 at the PBE level of DFT.

The structure in POSCAR format:
```
CeIn5Pd3
1.0
1.663 -6.866 0.000
1.663 6.866 0.000
0.000 0.000 17.367
Ce In Pd
2 10 6
direct
0.217 0.783 0.750 Ce
0.783 0.217 0.250 Ce
0.000 0.000 0.000 In
0.000 0.000 0.500 In
0.175 0.825 0.107 In
0.175 0.825 0.393 In
0.462 0.538 0.158 In
0.462 0.538 0.342 In
0.538 0.462 0.658 In
0.538 0.462 0.842 In
0.825 0.175 0.607 In
0.825 0.175 0.893 In
0.082 0.918 0.250 Pd
0.342 0.658 0.024 Pd
0.342 0.658 0.476 Pd
0.658 0.342 0.524 Pd
0.658 0.342 0.976 Pd
0.918 0.082 0.750 Pd
```

mass density: 8.655 Mg/m³
space-group type: No. 63
E: -0.157 hartree per atom
DFT formation energy: -357 meV per atom
calculated volume: 396.57 Å³ per cell
magnetic moment: 2.342 Bohr magnetons per cell



(10)
Computed, not measured: an optimized crystal structure of ErPuMg2 at the PBE level of DFT.

The structure in POSCAR format:
```
ErPuMg2
1.0
7.542 0.000 0.000
0.000 7.542 0.000
0.000 0.000 7.542
Er Pu Mg
4 4 8
direct
0.000 0.000 0.000 Er
0.000 0.500 0.500 Er
0.500 0.000 0.500 Er
0.500 0.500 0.000 Er
0.000 0.000 0.500 Pu
0.000 0.500 0.000 Pu
0.500 0.000 0.000 Pu
0.500 0.500 0.500 Pu
0.250 0.250 0.250 Mg
0.250 0.250 0.750 Mg
0.250 0.750 0.250 Mg
0.250 0.750 0.750 Mg
0.750 0.250 0.250 Mg
0.750 0.250 0.750 Mg
0.750 0.750 0.250 Mg
0.750 0.750 0.750 Mg
```

polymorph energy (0 for the lowest one): 0.077 eV/f.u.
mass density: 7.121 Mg/m³
space-group type: No. 225
E: -0.199 hartree per atom
DFT formation energy: 102 meV per atom
calculated volume: 428.94 Å³ per cell
magnetic moment: 26.022 Bohr magnetons per cell



(11)
Computed, not measured: an optimized crystal structure of KSbOs2 at the PBE level of DFT.

The structure in POSCAR format:
```
KSbOs2
1.0
7.204 0.000 0.000
0.000 4.161 0.000
-2.400 0.000 7.224
K Sb Os
2 2 4
direct
0.000 0.000 0.000 K
0.500 0.500 0.000 K
0.203 0.000 0.612 Sb
0.703 0.500 0.612 Sb
0.284 0.500 0.355 Os
0.473 0.000 0.422 Os
0.784 0.000 0.355 Os
0.973 0.500 0.422 Os
```

mass density: 8.303 Mg/m³
space-group type: No. 8
E: -0.239 hartree per atom
calculated volume: 216.51 Å³ per cell
magnetic moment: 0.000 Bohr magnetons per cell
E_form (uncorrected): 0.412 eV per atom



(12)
Computed, not measured: an optimized crystal structure of Li2IrRu at the PBE level of DFT.

The structure in POSCAR format:
```
Li2IrRu
1.0
9.098 0.000 0.000
0.000 2.628 0.000
-0.755 0.000 4.568
Li Ir Ru
4 2 2
direct
0.248 0.000 0.248 Li
0.252 0.500 0.752 Li
0.748 0.500 0.248 Li
0.752 0.000 0.752 Li
0.000 0.500 0.000 Ir
0.500 0.000 0.000 Ir
0.000 0.000 0.500 Ru
0.500 0.500 0.500 Ru
```

polymorph energy (0 for the lowest one): 0.099 eV/f.u.
mass density: 9.340 Mg/m³
space-group type: No. 12
E: -0.203 hartree per atom
DFT formation energy: -22 meV per atom
calculated volume: 109.22 Å³ per cell
magnetic moment: 0.102 Bohr magnetons per cell